A plane-wave DFT calculation with GGA-PBE was carried out for a relaxed structure of Na3GaHg3.

Output
N(E_F) = 0.440 states/eV/atom
ΔE_f = -179 meV per atom
Size of the total moment = 0.0 μB/f.u.
Space-group type = C2/m
Raw total energy = -1.31 eV per atom
Theoretical density = 6.490 g/cm3

abc: 4.5137 6.1903 14.7887
angles: 82.35 81.22 68.62
With the nearest neighbours (Å) after each atom.
Positions (direct):
1 Ga 0.7673 0.0739 0.3916  4 Hg 2.74-2.87
2 Ga 0.2327 0.9261 0.6084  4 Hg 2.74-2.87
3 Na 0.5228 0.3419 0.6125  6 Hg 3.22-3.26, 3 Ga 3.30-3.36
4 Na 0.4772 0.6581 0.3875  6 Hg 3.22-3.26, 3 Ga 3.30-3.36
5 Na 0.2566 0.2554 0.2313  6 Hg 3.18-3.43, 2 Ga 3.36
6 Na 0.7434 0.7446 0.7687  6 Hg 3.18-3.43, 2 Ga 3.36
7 Na 0.6033 0.7090 0.0844  7 Hg 3.15-3.46
8 Na 0.3967 0.2910 0.9156  7 Hg 3.15-3.46
9 Hg 0.0214 0.1937 0.7635  1 Ga 2.85, 1 Hg 3.02, 1 Na 3.18
10 Hg 0.9786 0.8063 0.2365  1 Ga 2.85, 1 Hg 3.02, 1 Na 3.18
11 Hg 0.1353 0.2738 0.4557  3 Ga 2.74-2.87, 1 Hg 3.01
12 Hg 0.8800 0.1663 0.0738  2 Hg 3.00-3.02, 5 Na 3.15-3.30
13 Hg 0.1200 0.8337 0.9262  2 Hg 3.00-3.02, 5 Na 3.15-3.30
14 Hg 0.8647 0.7262 0.5443  3 Ga 2.74-2.87, 1 Hg 3.01